# Ba2MnRuO6 (PBE+U, optimized geometry)
# **Energy**: -6.93 eV/atom
# **N(E_F)**: 6.35 states/eV/cell
# **SG**: No. 12
# **Mass density**: 6.17 g/cm3
data_Ba2MnRuO6
_chemical_formula_sum 'Ba6 Mn3 Ru3 O18'
_space_group_name_H-M_alt 'P 1'
_space_group_IT_number 1
_cell_length_a 5.834
_cell_length_b 5.834
_cell_length_c 14.395
_cell_angle_alpha 89.72
_cell_angle_beta 89.72
_cell_angle_gamma 60.26
loop_
_space_group_symop_operation_xyz
'x,y,z'
loop_
_atom_site_label
_atom_site_type_symbol
_atom_site_fract_x
_atom_site_fract_y
_atom_site_fract_z
_atom_site_occupancy
O1 O 0.182 0.665 0.591 1
Ba1 Ba 0.663 0.663 0.908 1
O2 O 0.670 0.153 0.924 1
O3 O 0.843 0.843 0.087 1
O4 O 0.818 0.818 0.422 1
O5 O 0.335 0.818 0.409 1
O6 O 0.818 0.335 0.409 1
O7 O 0.025 0.481 0.747 1
O8 O 0.153 0.670 0.924 1
O9 O 0.330 0.847 0.076 1
Ru1 Ru 0.332 0.332 0.658 1
Mn1 Mn 0.671 0.671 0.153 1
Ba2 Ba 0.337 0.337 0.092 1
O10 O 0.476 0.476 0.760 1
Ba3 Ba 0.668 0.668 0.593 1
Mn2 Mn 0.329 0.329 0.847 1
Ba4 Ba 0.004 0.004 0.247 1
O11 O 0.665 0.182 0.591 1
Ru2 Ru 0.000 0.000 0.000 1
Mn3 Mn 0.000 0.000 0.500 1
Ba5 Ba 0.996 0.996 0.753 1
O12 O 0.975 0.519 0.253 1
O13 O 0.481 0.025 0.747 1
Ba6 Ba 0.332 0.332 0.407 1
O14 O 0.157 0.157 0.913 1
Ru3 Ru 0.668 0.668 0.342 1
O15 O 0.847 0.330 0.076 1
O16 O 0.182 0.182 0.578 1
O17 O 0.519 0.975 0.253 1
O18 O 0.524 0.524 0.240 1